a.
A plane-wave DFT calculation with PBE was carried out for SrPmAl after structural relaxation.

Spin magnetization (Bohr magnetons per cell): 0.0

Unit cell a=5.003 b=5.003 c=8.290 alpha=90.00 beta=90.00 gamma=90.00
Element x y z (fractional)
Al (0.500, 0.000, 0.732)
Al (0.000, 0.500, 0.268)
Sr (0.500, 0.000, 0.139)
Sr (0.000, 0.500, 0.861)
Pm (0.500, 0.500, 0.500)
Pm (0.000, 0.000, 0.500)

=====

b.
A plane-wave DFT calculation with PBE was carried out for SrPmAl after structural relaxation.

Spin magnetization (Bohr magnetons per cell): 0.0

Unit cell a=5.229 b=5.229 c=9.187 alpha=90.00 beta=90.01 gamma=60.01
Element x y z (fractional)
Sr (0.667, 0.167, 0.340)
Sr (0.333, 0.833, 0.660)
Pm (0.667, 0.167, 0.912)
Pm (0.333, 0.833, 0.088)
Al (0.000, 0.500, 0.852)
Al (0.000, 0.500, 0.148)

=====

Of them, the most stable is a and the least stable is b.

=====

a.
A plane-wave DFT calculation with PBE was carried out for TbPm2Al after structural relaxation.

Spin magnetization (Bohr magnetons per cell): 0.0

Unit cell a=4.857 b=4.833 c=4.833 alpha=90.00 beta=90.00 gamma=90.00
Element x y z (fractional)
Tb (0.500, 0.500, 0.500)
Al (0.500, 0.000, 0.000)
Pm (0.000, 0.000, 0.500)
Pm (0.000, 0.500, 0.000)

=====

b.
A plane-wave DFT calculation with PBE was carried out for TbPm2Al after structural relaxation.

Spin magnetization (Bohr magnetons per cell): 0.5

Unit cell a=3.659 b=3.659 c=10.827 alpha=80.27 beta=80.27 gamma=60.00
Element x y z (fractional)
Tb (0.500, 0.500, 0.500)
Pm (0.073, 0.073, 0.781)
Pm (0.261, 0.261, 0.218)
Al (0.666, 0.666, 0.001)

=====

c.
A plane-wave DFT calculation with PBE was carried out for TbPm2Al after structural relaxation.

Spin magnetization (Bohr magnetons per cell): 0.0

Unit cell a=5.341 b=7.008 c=7.008 alpha=120.15 beta=90.00 gamma=90.00
Element x y z (fractional)
Tb (0.500, 0.646, 0.822)
Tb (0.500, 0.178, 0.354)
Pm (0.500, 0.177, 0.823)
Pm (0.000, 0.355, 0.179)
Pm (0.000, 0.821, 0.645)
Pm (0.000, 0.822, 0.178)
Al (0.500, 0.666, 0.334)
Al (0.000, 0.336, 0.664)

=====

Of them, the most stable is c and the least stable is b.